No. 1
A relaxed structure of Sc3GaRh, computed with PBE-GGA.

Calculated values
The total moment is 0.00 μB per formula unit. For the offset from the most stable computed form, the calculation gives 0.0000 eV per atom. Its calculated volume is 24.407 Å³ per atom. For the uncorrected energy, the calculation gives -6.08 eV/atom. As for the formation energy: -1.0 eV per formula unit.

Unit cell a=4.9602 b=4.9602 c=4.9602 alpha=90.00 beta=90.00 gamma=90.00
With the nearest neighbours (Å) after each atom.
Positions (direct):
Sc 0.0000 0.0000 0.5000  2 Rh 2.48
Sc 0.0000 0.5000 0.0000  2 Rh 2.48
Ga 0.5000 0.5000 0.5000  12 Sc 3.51
Sc 0.5000 0.0000 0.0000  2 Rh 2.48
Rh 0.0000 0.0000 0.0000  6 Sc 2.48

---

No. 2
A relaxed structure of BaCaBi, computed with PBE-GGA.

Calculated values
The total moment is 0.00 μB per formula unit. For the offset from the most stable computed form, the calculation gives 0.0000 eV per atom. Its calculated volume is 40.170 Å³ per atom. For the uncorrected energy, the calculation gives -3.44 eV/atom. As for the formation energy: -2.5 eV per formula unit.

Unit cell a=5.1111 b=9.9062 c=5.1126 alpha=104.95 beta=90.00 gamma=104.95
With the nearest neighbours (Å) after each atom.
Positions (direct):
Ba 0.3572 0.9962 0.0058  5 Bi 3.71-3.72, 4 Ca 4.08
Ca 0.0299 0.3412 0.1784  4 Bi 3.45, 4 Ca 3.61
Ba 0.7023 0.6862 0.3510  5 Bi 3.72, 4 Ca 4.08
Bi 0.9038 0.0894 0.5524  4 Ca 3.45, 5 Ba 3.71-3.72
Bi 0.1557 0.5931 0.8044  4 Ca 3.45, 5 Ba 3.72
Ca 0.5299 0.3412 0.6784  4 Bi 3.45, 4 Ca 3.61

---

No. 3
A relaxed structure of Ho2LuNb, computed with PBE-GGA.

Calculated values
The total moment is 0.00 μB per formula unit. Its calculated volume is 26.440 Å³ per atom. For the uncorrected energy, the calculation gives -5.43 eV/atom. As for the formation energy: 2.0 eV per formula unit.

Unit cell a=3.2696 b=3.2696 c=11.5784 alpha=81.88 beta=81.88 gamma=60.00
With the nearest neighbours (Å) after each atom.
Positions (direct):
Lu 0.5000 0.5000 0.5000  6 Lu 3.27, 6 Ho 3.39
Ho 0.0843 0.0843 0.7470  1 Nb 2.89
Nb 0.0000 0.0000 0.0000  2 Ho 2.89
Ho 0.9157 0.9157 0.2530  1 Nb 2.89

---

No. 4
A relaxed structure of TlTc3H, computed with PBE-GGA.

Calculated values
The total moment is 9.00 μB per formula unit. For the offset from the most stable computed form, the calculation gives 2.5502 eV per atom. Its calculated volume is 28.015 Å³ per atom. For the uncorrected energy, the calculation gives -4.28 eV/atom.

Unit cell a=5.1934 b=5.1934 c=5.1934 alpha=90.00 beta=90.00 gamma=90.00
With the nearest neighbours (Å) after each atom.
Positions (direct):
Tc 0.5000 0.0000 0.0000  2 Tl 2.60
Tc 0.0000 0.5000 0.0000  2 Tl 2.60
H 0.5000 0.5000 0.5000  12 Tc 3.67
Tl 0.0000 0.0000 0.0000  6 Tc 2.60
Tc 0.0000 0.0000 0.5000  2 Tl 2.60

---

No. 5
A relaxed structure of Ba2NdHg, computed with PBE-GGA.

Calculated values
The total moment is 1.07 μB per formula unit. For the offset from the most stable computed form, the calculation gives 0.0000 eV per atom. Its calculated volume is 42.031 Å³ per atom. For the uncorrected energy, the calculation gives -2.34 eV/atom. As for the formation energy: -0.4 eV per formula unit.

Unit cell a=4.0947 b=4.0947 c=10.0275 alpha=90.00 beta=90.00 gamma=90.00
With the nearest neighbours (Å) after each atom.
Positions (direct):
Nd 0.5000 0.5000 0.5000  8 Ba 4.09, 4 Nd 4.09
Ba 0.0000 0.0000 0.7885  4 Hg 3.59
Hg 0.5000 0.5000 0.0000  8 Ba 3.59
Ba 0.0000 0.0000 0.2115  4 Hg 3.59

---

No. 6
A relaxed structure of LiHg3Pb2, computed with PBE-GGA.

Calculated values
The total moment is 0.00 μB per formula unit. For the offset from the most stable computed form, the calculation gives 0.0000 eV per atom. Its calculated volume is 25.485 Å³ per atom. For the uncorrected energy, the calculation gives -1.80 eV/atom. As for the formation energy: -0.5 eV per formula unit.

Unit cell a=4.8237 b=7.7720 c=8.6509 alpha=90.00 beta=90.00 gamma=70.55
With the nearest neighbours (Å) after each atom.
Positions (direct):
Pb 0.0000 0.0000 0.0000  8 Hg 3.18-3.20, 4 Li 3.29-3.40
Hg 0.1778 0.6360 0.7954  3 Li 2.94-3.02, 2 Hg 3.12-3.13, 1 Pb 3.20
Hg 0.8222 0.3640 0.7954  3 Li 2.94-3.02, 2 Hg 3.12-3.13, 1 Pb 3.20
Hg 0.8222 0.3640 0.2046  3 Li 2.94-3.02, 2 Hg 3.12-3.13, 1 Pb 3.20
Pb 0.0000 0.0000 0.5000  8 Hg 3.30-3.70, 4 Pb 3.40-3.51
Hg 0.5000 0.0000 0.7606  2 Li 3.11, 6 Pb 3.18-3.35
Li 0.6547 0.6837 0.0000  8 Hg 2.94-3.11
Pb 0.6649 0.6629 0.5000  8 Hg 3.35-3.52, 4 Pb 3.38-3.51
Hg 0.5000 0.0000 0.2394  2 Li 3.11, 6 Pb 3.18-3.35
Hg 0.1778 0.6360 0.2046  3 Li 2.94-3.02, 2 Hg 3.12-3.13, 1 Pb 3.20
Pb 0.3351 0.3371 0.5000  8 Hg 3.35-3.52, 4 Pb 3.38-3.51
Li 0.3453 0.3163 0.0000  8 Hg 2.94-3.11

---

No. 7
A relaxed structure of Sm5HgOs2, computed with PBE-GGA.

Calculated values
The total moment is 0.00 μB per formula unit. Its calculated volume is 26.750 Å³ per atom. For the uncorrected energy, the calculation gives -6.05 eV/atom. As for the formation energy: -2.1 eV per formula unit.

Unit cell a=7.9081 b=7.9081 c=8.8379 alpha=116.58 beta=116.58 gamma=90.00
With the nearest neighbours (Å) after each atom.
Positions (direct):
Sm 0.5276 0.7076 0.7352  3 Os 2.88-2.99
Sm 0.2924 0.7924 0.2648  3 Os 2.88-2.99
Os 0.1395 0.3605 0.0000  8 Sm 2.88-3.06, 1 Os 3.12
Sm 0.7924 0.9724 0.2648  3 Os 2.88-2.99
Os 0.8605 0.6395 0.0000  8 Sm 2.88-3.06, 1 Os 3.12
Sm 0.5000 0.5000 0.0000  4 Os 3.06, 2 Hg 3.42
Sm 0.0000 0.0000 0.0000  4 Os 3.06, 2 Hg 3.42
Os 0.6395 0.1395 0.0000  8 Sm 2.88-3.06, 1 Os 3.12
Sm 0.0276 0.5276 0.7352  3 Os 2.88-2.99
Hg 0.7500 0.7500 0.5000  10 Sm 3.38-3.42
Sm 0.9724 0.4724 0.2648  3 Os 2.88-2.99
Sm 0.2076 0.0276 0.7352  3 Os 2.88-2.99
Sm 0.7076 0.2076 0.7352  3 Os 2.88-2.99
Sm 0.4724 0.2924 0.2648  3 Os 2.88-2.99
Os 0.3605 0.8605 0.0000  8 Sm 2.88-3.06, 1 Os 3.12
Hg 0.2500 0.2500 0.5000  10 Sm 3.38-3.42

---

No. 8
A relaxed structure of PmCoI, computed with PBE-GGA.

Calculated values
The total moment is 0.35 μB per formula unit. Its calculated volume is 28.638 Å³ per atom. For the uncorrected energy, the calculation gives -4.91 eV/atom. Its raw formation energy is -442 meV per atom.

Unit cell a=11.3349 b=11.3349 c=3.9825 alpha=92.81 beta=106.18 gamma=152.23
With the nearest neighbours (Å) after each atom.
Positions (direct):
Co 0.5426 0.1259 0.6685  1 Co 2.22
Pm 0.9767 0.3274 0.3041  4 Co 2.80-2.91
I 0.3902 0.2167 0.6069  1 Co 2.65
I 0.6098 0.7833 0.3931  1 Co 2.65
Co 0.4574 0.8741 0.3315  1 Co 2.22
Pm 0.0233 0.6726 0.6959  4 Co 2.80-2.91

---

No. 9
A relaxed structure of YInTc2, computed with PBE-GGA.

Calculated values
The total moment is 0.00 μB per formula unit. Its calculated volume is 20.839 Å³ per atom. For the uncorrected energy, the calculation gives -7.21 eV/atom. As for the formation energy: 1.1 eV per formula unit.

Unit cell a=4.7887 b=3.1958 c=5.4536 alpha=87.12 beta=90.00 gamma=90.00
With the nearest neighbours (Å) after each atom.
Positions (direct):
Tc 0.0000 0.7833 0.0416  1 Tc 2.27
In 0.5000 0.7500 0.7500  4 Tc 2.88, 2 Y 3.09, 2 In 3.20
Y 0.5000 0.2500 0.2500  8 Tc 3.07-3.12, 4 In 3.09-3.23, 2 Y 3.20
Tc 0.0000 0.7167 0.4584  1 Tc 2.27

---

No. 10
A relaxed structure of Sc3FeC4, computed with PBE-GGA.

Calculated values
The total moment is 0.61 μB per formula unit. Its calculated volume is 11.183 Å³ per atom. For the uncorrected energy, the calculation gives -8.48 eV/atom. As for the formation energy: -3.5 eV per formula unit.

Unit cell a=6.6552 b=6.6552 c=6.6552 alpha=150.45 beta=141.83 gamma=49.00
With the nearest neighbours (Å) after each atom.
Positions (direct):
Sc 0.8112 0.8112 0.0000  6 C 2.37-2.38
C 0.2100 0.3762 0.8338  1 C 1.45
C 0.7900 0.6238 0.1662  1 C 1.45
Fe 0.0000 0.5000 0.5000  4 C 2.09
C 0.4576 0.6238 0.8338  1 C 1.45
Sc 0.1888 0.1888 0.0000  6 C 2.37-2.38
Sc 0.5000 0.0000 0.5000  8 C 2.38
C 0.5424 0.3762 0.1662  1 C 1.45